No. 1
# Hf3Te2 PBEsol relaxed
# * VASP energy: -8.35 eV/atom
# * raw formation energy: -0.63 eV per atom
data_Hf3Te2
_space_group_name_H-M_alt 'I 4/m m m'
_space_group_IT_number 139
_space_group_name_Hall '-I 4 2'
_cell_length_a 3.659
_cell_length_b 3.659
_cell_length_c 17.688
_cell_angle_alpha 90.00
_cell_angle_beta 90.00
_cell_angle_gamma 90.00
loop_
_atom_site_label
_atom_site_type_symbol
_atom_site_fract_x
_atom_site_fract_y
_atom_site_fract_z
Hf1 Hf 0.000 0.000 0.000
Hf2 Hf 0.000 0.000 0.404
Te1 Te 0.000 0.000 0.170

---

No. 2
# Hf2Te3 PBEsol relaxed
# * VASP energy: -7.10 eV/atom
# * raw formation energy: -0.78 eV per atom
data_Hf2Te3
_space_group_name_H-M_alt 'R -3'
_space_group_IT_number 148
_space_group_name_Hall '-R 3'
_cell_length_a 6.8352
_cell_length_b 6.8352
_cell_length_c 19.7164
_cell_angle_alpha 90.00
_cell_angle_beta 90.00
_cell_angle_gamma 120.00
loop_
_atom_site_label
_atom_site_type_symbol
_atom_site_fract_x
_atom_site_fract_y
_atom_site_fract_z
Hf1 Hf 0.0000 0.0000 0.0000
Hf2 Hf 0.0000 0.0000 0.1604
Hf3 Hf 0.0000 0.0000 0.5000
Te1 Te 0.0032 0.3516 0.9225

---

No. 3
# HfTe5 PBEsol relaxed
# * VASP energy: -5.13 eV/atom
# * raw formation energy: -0.44 eV per atom
data_HfTe5
_space_group_name_H-M_alt 'C m c m'
_space_group_IT_number 63
_space_group_name_Hall '-C 2c 2'
_cell_length_a 3.947
_cell_length_b 14.575
_cell_length_c 13.592
_cell_angle_alpha 90.00
_cell_angle_beta 90.00
_cell_angle_gamma 90.00
loop_
_atom_site_label
_atom_site_type_symbol
_atom_site_fract_x
_atom_site_fract_y
_atom_site_fract_z
Hf1 Hf 0.000 0.187 0.250
Te1 Te 0.000 0.162 0.750
Te2 Te 0.000 0.292 0.066
Te3 Te 0.000 0.425 0.648

---

No. 4
# Hf3TiTe20 PBEsol relaxed
# * VASP energy: -5.02 eV/atom
# * raw formation energy: -0.42 eV per atom
data_Hf3TiTe20
_space_group_name_H-M_alt 'A m m 2'
_space_group_IT_number 38
_space_group_name_Hall 'A 2 -2'
_cell_length_a 27.256
_cell_length_b 3.912
_cell_length_c 14.478
_cell_angle_alpha 90.00
_cell_angle_beta 90.00
_cell_angle_gamma 90.00
loop_
_atom_site_label
_atom_site_type_symbol
_atom_site_fract_x
_atom_site_fract_y
_atom_site_fract_z
Hf1 Hf 0.000 0.000 0.000
Hf2 Hf 0.251 0.000 0.381
Ti1 Ti 0.500 0.000 0.006
Te1 Te 0.000 0.000 0.348
Te2 Te 0.051 0.000 0.614
Te3 Te 0.093 0.000 0.896
Te4 Te 0.158 0.000 0.482
Te5 Te 0.201 0.000 0.766
Te6 Te 0.250 0.000 0.033
Te7 Te 0.303 0.000 0.768
Te8 Te 0.343 0.000 0.487
Te9 Te 0.410 0.000 0.904
Te10 Te 0.450 0.000 0.614
Te11 Te 0.500 0.000 0.359

---

No. 5
# HfTiTe3 PBEsol relaxed
# * VASP energy: -5.58 eV/atom
# * raw formation energy: 0.30 eV per atom
data_HfTiTe3
_space_group_name_H-M_alt 'P m -3 m'
_space_group_IT_number 221
_space_group_name_Hall '-P 4 2 3'
_cell_length_a 5.186
_cell_length_b 5.186
_cell_length_c 5.186
_cell_angle_alpha 90.00
_cell_angle_beta 90.00
_cell_angle_gamma 90.00
loop_
_atom_site_label
_atom_site_type_symbol
_atom_site_fract_x
_atom_site_fract_y
_atom_site_fract_z
Hf1 Hf 0.000 0.000 0.000
Ti1 Ti 0.500 0.500 0.500
Te1 Te 0.000 0.500 0.500

---

No. 6
# HfTl2Te PBEsol relaxed
# * VASP energy: -4.36 eV/atom
# * raw formation energy: 0.46 eV per atom
data_HfTl2Te
_space_group_name_H-M_alt 'F m -3 m'
_space_group_IT_number 225
_space_group_name_Hall '-F 4 2 3'
_cell_length_a 7.442
_cell_length_b 7.442
_cell_length_c 7.442
_cell_angle_alpha 90.00
_cell_angle_beta 90.00
_cell_angle_gamma 90.00
loop_
_atom_site_label
_atom_site_type_symbol
_atom_site_fract_x
_atom_site_fract_y
_atom_site_fract_z
Hf1 Hf 0.000 0.000 0.000
Tl1 Tl 0.250 0.250 0.250
Te1 Te 0.000 0.000 0.500

---

No. 7
# YHfTe2 PBEsol relaxed
# * VASP energy: -6.39 eV/atom
# * raw formation energy: -0.29 eV per atom
data_YHfTe2
_space_group_name_H-M_alt 'I -4 2 d'
_space_group_IT_number 122
_space_group_name_Hall 'I -4 2bw'
_cell_length_a 6.521
_cell_length_b 6.521
_cell_length_c 13.231
_cell_angle_alpha 90.00
_cell_angle_beta 90.00
_cell_angle_gamma 90.00
loop_
_atom_site_label
_atom_site_type_symbol
_atom_site_fract_x
_atom_site_fract_y
_atom_site_fract_z
Y1 Y 0.000 0.000 0.000
Hf1 Hf 0.000 0.000 0.500
Te1 Te 0.225 0.250 0.625

---

No. 8
# YHfTe3 PBEsol relaxed
# * VASP energy: -5.95 eV/atom
# * raw formation energy: -0.37 eV per atom
data_YHfTe3
_space_group_name_H-M_alt 'P m -3 m'
_space_group_IT_number 221
_space_group_name_Hall '-P 4 2 3'
_cell_length_a 5.444
_cell_length_b 5.444
_cell_length_c 5.444
_cell_angle_alpha 90.00
_cell_angle_beta 90.00
_cell_angle_gamma 90.00
loop_
_atom_site_label
_atom_site_type_symbol
_atom_site_fract_x
_atom_site_fract_y
_atom_site_fract_z
Y1 Y 0.000 0.000 0.000
Hf1 Hf 0.500 0.500 0.500
Te1 Te 0.000 0.500 0.500

---

No. 9
# HfTi PBEsol relaxed
# * VASP energy: -9.35 eV/atom
# * ΔH_f (0 K): 59 meV per atom
data_HfTi
_space_group_name_H-M_alt 'P -6 m 2'
_space_group_IT_number 187
_space_group_name_Hall 'P -6 2'
_cell_length_a 3.0495
_cell_length_b 3.0495
_cell_length_c 4.7642
_cell_angle_alpha 90.00
_cell_angle_beta 90.00
_cell_angle_gamma 120.00
loop_
_atom_site_label
_atom_site_type_symbol
_atom_site_fract_x
_atom_site_fract_y
_atom_site_fract_z
Hf1 Hf 0.0000 0.0000 0.0000
Ti1 Ti 0.3333 0.6667 0.5000

---

No. 10
# HfTi3W PBEsol relaxed
# * VASP energy: -8.18 eV/atom
# * ΔH_f (0 K): 1676 meV per atom
data_HfTi3W
_space_group_name_H-M_alt 'P m -3 m'
_space_group_IT_number 221
_space_group_name_Hall '-P 4 2 3'
_cell_length_a 4.594
_cell_length_b 4.594
_cell_length_c 4.594
_cell_angle_alpha 90.00
_cell_angle_beta 90.00
_cell_angle_gamma 90.00
loop_
_atom_site_label
_atom_site_type_symbol
_atom_site_fract_x
_atom_site_fract_y
_atom_site_fract_z
Hf1 Hf 0.000 0.000 0.000
Ti1 Ti 0.000 0.000 0.500
W1 W 0.500 0.500 0.500

---

No. 11
# YHf3Ti PBEsol relaxed
# * VASP energy: -7.65 eV/atom
# * ΔH_f (0 K): 1677 meV per atom
data_YHf3Ti
_space_group_name_H-M_alt 'P m -3 m'
_space_group_IT_number 221
_space_group_name_Hall '-P 4 2 3'
_cell_length_a 4.977
_cell_length_b 4.977
_cell_length_c 4.977
_cell_angle_alpha 90.00
_cell_angle_beta 90.00
_cell_angle_gamma 90.00
loop_
_atom_site_label
_atom_site_type_symbol
_atom_site_fract_x
_atom_site_fract_y
_atom_site_fract_z
Y1 Y 0.000 0.000 0.000
Hf1 Hf 0.000 0.000 0.500
Ti1 Ti 0.500 0.500 0.500

---

No. 12
# HfTiZn2 PBEsol relaxed
# * VASP energy: -5.70 eV/atom
# * ΔH_f (0 K): -204 meV per atom
data_HfTiZn2
_space_group_name_H-M_alt 'F m -3 m'
_space_group_IT_number 225
_space_group_name_Hall '-F 4 2 3'
_cell_length_a 6.359
_cell_length_b 6.359
_cell_length_c 6.359
_cell_angle_alpha 90.00
_cell_angle_beta 90.00
_cell_angle_gamma 90.00
loop_
_atom_site_label
_atom_site_type_symbol
_atom_site_fract_x
_atom_site_fract_y
_atom_site_fract_z
Hf1 Hf 0.000 0.000 0.000
Ti1 Ti 0.000 0.000 0.500
Zn1 Zn 0.250 0.250 0.250

---

No. 13
# Hf2ZrTiZn PBEsol relaxed
# * VASP energy: -6.70 eV/atom
# * ΔH_f (0 K): 1299 meV per atom
data_Hf2ZrTiZn
_space_group_name_H-M_alt 'P 4/m m m'
_space_group_IT_number 123
_space_group_name_Hall '-P 4 2'
_cell_length_a 5.062
_cell_length_b 5.062
_cell_length_c 4.601
_cell_angle_alpha 90.00
_cell_angle_beta 90.00
_cell_angle_gamma 90.00
loop_
_atom_site_label
_atom_site_type_symbol
_atom_site_fract_x
_atom_site_fract_y
_atom_site_fract_z
Hf1 Hf 0.000 0.500 0.000
Zr1 Zr 0.000 0.000 0.000
Ti1 Ti 0.000 0.000 0.500
Zn1 Zn 0.500 0.500 0.500

---

No. 14
# HfZr2Ti PBEsol relaxed
# * VASP energy: -9.12 eV/atom
# * ΔH_f (0 K): 136 meV per atom
data_HfZr2Ti
_space_group_name_H-M_alt 'F m -3 m'
_space_group_IT_number 225
_space_group_name_Hall '-F 4 2 3'
_cell_length_a 6.877
_cell_length_b 6.877
_cell_length_c 6.877
_cell_angle_alpha 90.00
_cell_angle_beta 90.00
_cell_angle_gamma 90.00
loop_
_atom_site_label
_atom_site_type_symbol
_atom_site_fract_x
_atom_site_fract_y
_atom_site_fract_z
Hf1 Hf 0.000 0.000 0.000
Zr1 Zr 0.250 0.250 0.250
Ti1 Ti 0.000 0.000 0.500